Entry 1:
VASP calculation (GGA-PBE) on In2RuBr after structural relaxation.

relative energy among the computed polymorphs = 630 meV/atom
ΔE_f (raw) = 0.543 eV/atom
total DFT energy (no corrections) = -3.56 eV per atom
DOS(E_F) = 3.64 states/eV/cell

Cell lengths 3.2708, 5.0462, 5.4256 Å; angles 90.00, 90.00, 90.00 degrees
With the nearest neighbours (Å) after each atom.
Space group Pmmm (No. 47)
Asymmetric unit:
1 In 0.0000 0.0000 0.0000 [1 per cell]  4 Br 3.01, 6 In 3.17-3.27
2 In 0.5000 0.0000 0.5000 [1 per cell]  4 Ru 3.01, 6 In 3.17-3.27
3 Ru 0.0000 0.5000 0.5000 [1 per cell]  4 In 3.01, 4 Br 3.17, 2 Ru 3.27
4 Br 0.5000 0.5000 0.0000 [1 per cell]  4 In 3.01, 4 Ru 3.17, 2 Br 3.27

Entry 2:
VASP calculation (GGA-PBE) on PuZrS4 after structural relaxation.

ΔE_f (raw) = -1.310 eV/atom
total DFT energy (no corrections) = -7.88 eV per atom
DOS(E_F) = 18.45 states/eV/cell

Cell lengths 8.7641, 8.8192, 3.9219 Å; angles 90.00, 90.00, 90.00 degrees
With the nearest neighbours (Å) after each atom.
Space group Cmmm (No. 65)
Asymmetric unit:
1 Pu 0.0000 0.0000 0.0000 [2 per cell]  6 S 2.65-2.73
2 Zr 0.0000 0.5000 0.5000 [2 per cell]  6 S 2.58-2.60
3 S 0.0000 0.3096 0.0000 [4 per cell]  2 Zr 2.58, 1 Pu 2.73
4 S 0.2034 0.0000 0.5000 [4 per cell]  1 Zr 2.60, 2 Pu 2.65